# 1
Compound: LiHfF2
Source: Alexandria via LeMat-Bulk
Functional: PBE
Structure: relaxed

Properties
- ΔE to the lowest computed polymorph: 0.00 kcal/mol of atoms
- Mass density: 6.78 g/cm3
- D(E_F): 3.09 states/eV/cell
- Uncorrected energy: -25.22 eV for the cell shown

Cell lengths 6.5128, 6.5128, 6.5128 Å; angles 28.25, 28.25, 28.25 degrees
Last column: nearest neighbours and their distance in Å.
Positions (direct):
Li (0.5000, 0.5000, 0.5000)  6 F 2.11
Hf (0.0000, 0.0000, 0.0000)  2 F 2.07
F (0.8894, 0.8894, 0.8894)  1 Hf 2.07, 3 Li 2.11
F (0.1106, 0.1106, 0.1106)  1 Hf 2.07, 3 Li 2.11

***

# 2
Compound: Cs4I2Br
Source: Alexandria via LeMat-Bulk
Functional: PBE
Structure: relaxed

Properties
- ΔE to the lowest computed polymorph: 0.00 kcal/mol of atoms
- Mass density: 3.05 g/cm3
- D(E_F): 1.91 states/eV/cell
- Uncorrected energy: -17.20 eV for the cell shown

Cell lengths 6.9497, 6.9497, 10.9352 Å; angles 71.47, 71.47, 90.00 degrees
Last column: nearest neighbours and their distance in Å.
Positions (direct):
Cs (0.1951, 0.1951, 0.6098)  1 I 3.73, 1 Br 3.81
Cs (0.8049, 0.8049, 0.3902)  1 I 3.73, 1 Br 3.81
Cs (0.0000, 0.5000, 0.0000)  2 Br 3.47
Cs (0.5000, 0.0000, 0.0000)  2 Br 3.47
I (0.3859, 0.3859, 0.2283)  5 Cs 3.73-4.13
I (0.6141, 0.6141, 0.7717)  5 Cs 3.73-4.13
Br (0.0000, 0.0000, 0.0000)  6 Cs 3.47-3.81

***

# 3
Compound: Ho4ZnAu3
Source: Alexandria via LeMat-Bulk
Functional: PBE
Structure: relaxed

Properties
- ΔE to the lowest computed polymorph: 0.00 kcal/mol of atoms
- Mass density: 11.97 g/cm3
- D(E_F): 4.89 states/eV/cell
- Uncorrected energy: -35.38 eV for the cell shown
- DFT formation energy: -0.745 eV/atom

Cell lengths 3.5822, 3.5822, 14.2298 Å; angles 90.00, 90.00, 90.00 degrees
Last column: nearest neighbours and their distance in Å.
Positions (direct):
Zn (0.5000, 0.5000, 0.0000)  8 Ho 3.08
Au (0.5000, 0.5000, 0.2446)  8 Ho 3.07-3.13
Au (0.5000, 0.5000, 0.5000)  8 Ho 3.11
Au (0.5000, 0.5000, 0.7554)  8 Ho 3.07-3.13
Ho (0.0000, 0.0000, 0.8774)  4 Au 3.07, 4 Zn 3.08
Ho (0.0000, 0.0000, 0.1226)  4 Au 3.07, 4 Zn 3.08
Ho (0.0000, 0.0000, 0.3734)  8 Au 3.11-3.13
Ho (0.0000, 0.0000, 0.6266)  8 Au 3.11-3.13

***

# 4
Compound: K3Sm3PuO8
Source: Alexandria via LeMat-Bulk
Functional: PBE
Structure: relaxed

Properties
- Mass density: 5.60 g/cm3
- D(E_F): 4.84 states/eV/cell
- Uncorrected energy: -112.52 eV for the cell shown

Cell lengths 7.1245, 7.1245, 7.5637 Å; angles 118.11, 90.00, 120.00 degrees
Last column: nearest neighbours and their distance in Å.
Positions (direct):
K (0.0000, 0.0000, 0.0000)  6 O 2.87
K (0.0000, 0.5000, 0.0000)  6 O 2.87
K (0.5000, 0.5000, 0.0000)  6 O 2.87
Sm (0.5000, 0.0000, 0.5000)  6 O 2.37-2.39
Sm (0.5000, 0.5000, 0.5000)  6 O 2.37-2.39
Sm (0.0000, 0.5000, 0.5000)  6 O 2.37-2.39
Pu (0.0000, 0.0000, 0.5000)  6 O 2.25
O (0.2717, 0.5433, 0.3151)  3 Sm 2.37
O (0.7283, 0.4567, 0.6849)  3 Sm 2.37
O (0.7832, 0.5664, 0.3235)  1 Pu 2.25, 2 Sm 2.39
O (0.2168, 0.4336, 0.6765)  1 Pu 2.25, 2 Sm 2.39
O (0.7832, 0.0401, 0.3235)  1 Pu 2.25, 2 Sm 2.39
O (0.2168, 0.9599, 0.6765)  1 Pu 2.25, 2 Sm 2.39
O (0.2569, 0.0401, 0.3235)  1 Pu 2.25, 2 Sm 2.39
O (0.7431, 0.9599, 0.6765)  1 Pu 2.25, 2 Sm 2.39

***

# 5
Compound: Y2FePb
Source: Alexandria via LeMat-Bulk
Functional: PBE
Structure: relaxed

Properties
- Mass density: 7.18 g/cm3
- D(E_F): 3.67 states/eV/cell
- Uncorrected energy: -25.63 eV for the cell shown
- DFT formation energy: -0.133 eV/atom

Cell lengths 4.3911, 4.0856, 6.0414 Å; angles 70.23, 90.00, 90.00 degrees
Last column: nearest neighbours and their distance in Å.
Positions (direct):
Fe (0.0000, 0.7051, 0.4641)  2 Pb 2.80, 5 Y 3.04-3.09
Pb (0.5000, 0.5532, 0.7690)  2 Fe 2.80
Y (0.0000, 0.9725, 0.9302)  3 Fe 3.04-3.35, 4 Pb 3.14
Y (0.5000, 0.2692, 0.3366)  4 Fe 3.08-3.09, 3 Pb 3.20-3.23

***

# 6
Compound: Dy5Y4Ho
Source: Alexandria via LeMat-Bulk
Functional: PBE
Structure: relaxed

Properties
- ΔE to the lowest computed polymorph: 4.44 kcal/mol of atoms
- Mass density: 6.72 g/cm3
- D(E_F): 13.88 states/eV/cell
- Uncorrected energy: -50.94 eV for the cell shown
- DFT formation energy: 0.251 eV/atom

Cell lengths 5.8969, 8.0340, 8.0340 Å; angles 82.26, 68.47, 68.47 degrees
Last column: nearest neighbours and their distance in Å.
Positions (direct):
Dy (0.7631, 0.3765, 0.9999)  3 Dy 3.22-3.48, 1 Ho 3.22, 2 Y 3.30
Dy (0.1396, 0.9999, 0.6235)  3 Dy 3.22-3.48, 1 Ho 3.22, 2 Y 3.30
Dy (0.7630, 0.0001, 0.3765)  3 Dy 3.22-3.48, 1 Ho 3.22, 2 Y 3.30
Dy (0.1395, 0.6235, 0.0001)  3 Dy 3.22-3.48, 1 Ho 3.22, 2 Y 3.30
Dy (0.6868, 0.0000, 0.0000)  1 Ho 2.78
Y (0.4506, 0.3218, 0.6783)  3 Dy 3.30-3.67, 1 Ho 3.67
Y (0.7723, 0.6783, 0.6782)  3 Dy 3.30-3.67, 1 Ho 3.67
Y (0.1289, 0.3217, 0.3218)  3 Dy 3.30-3.67, 1 Ho 3.67
Y (0.4507, 0.6782, 0.3217)  3 Dy 3.30-3.67, 1 Ho 3.67
Ho (0.2159, 0.0000, 0.0000)  1 Dy 2.78